A plane-wave DFT calculation with GGA+U was carried out for an optimized crystal structure of FeP2RhO.

Computed properties:
For the spin magnetization, the calculation gives 0.00 μB per cell. The calculation puts the density of states at the Fermi level at 2.62 states/eV/f.u. The energy above the lowest structure with this stoichiometry comes out at 0.34 eV/f.u.

a b c (Å): 4.541 4.541 3.280
angles (deg): 90.00 90.00 90.00
Fractional coordinates of all 5 atoms:
O 0.000 0.000 0.500
P 0.500 0.000 0.000
Rh 0.500 0.500 0.500
P 0.000 0.500 0.000
Fe 0.000 0.000 0.000